Entry 1:
Crystalline RbNa2AgPt at its relaxed geometry, computed with PBE-GGA.

The structure in POSCAR format:
```
RbNa2AgPt
1.0
5.490 0.000 0.000
0.000 5.490 0.000
0.000 0.000 5.359
Na Rb Ag Pt
2 1 1 1
direct
0.000 0.500 0.000
0.500 0.000 0.000
0.500 0.500 0.500
0.000 0.000 0.500
0.000 0.000 0.000
```

Results
Space group ... No. 123
ΔH_f (0 K) ... 25.9 meV per atom

Entry 2:
Crystalline Na2AgSbPt at its relaxed geometry, computed with PBE-GGA.

The structure in POSCAR format:
```
Na2AgSbPt
1.0
-1.157 -1.164 -4.871
-1.356 -4.637 1.430
-4.813 1.639 0.752
Sb Ag Pt Na
1 1 1 2
direct
0.000 0.500 0.000
0.000 0.000 0.000
0.500 0.500 0.500
0.000 0.000 0.500
0.500 0.000 0.000
```

Results
Space group ... No. 123
Raw formation energy ... 0.4728 eV per atom

Entry 3:
Crystalline Na2AgSb3Pt4 at its relaxed geometry, computed with PBE-GGA.

The structure in POSCAR format:
```
Na2AgSb3Pt4
1.0
-0.363 -4.208 1.635
-1.068 -1.514 -4.133
10.580 -1.728 -2.100
Na Ag Sb Pt
2 1 3 4
direct
0.500 0.000 0.256
0.000 0.500 0.744
0.500 0.500 0.500
0.000 0.000 0.500
0.500 0.000 0.870
0.000 0.500 0.130
0.500 0.500 0.000
0.000 0.000 0.000
0.500 0.000 0.635
0.000 0.500 0.365
```

Results
Space group ... No. 115
Raw formation energy ... -0.3610 eV per atom

Entry 4:
Crystalline NaAgSbPt at its relaxed geometry, computed with PBE-GGA.

The structure in POSCAR format:
```
NaAgSbPt
1.0
4.766 0.000 0.000
2.383 4.127 0.000
2.383 1.376 3.891
Sb Ag Pt Na
1 1 1 1
direct
0.000 0.000 0.000
0.500 0.500 0.500
0.750 0.750 0.750
0.250 0.250 0.250
```

Results
Space group ... No. 216
Raw formation energy ... -0.1867 eV per atom

Entry 5:
Crystalline NaSmAgPt at its relaxed geometry, computed with PBE-GGA.

The structure in POSCAR format:
```
NaSmAgPt
1.0
4.996 0.000 0.000
2.498 4.327 0.000
2.498 1.442 4.080
Ag Sm Pt Na
1 1 1 1
direct
0.250 0.250 0.250
0.000 0.000 0.000
0.750 0.750 0.750
0.500 0.500 0.500
```

Results
Space group ... No. 216
ΔH_f (0 K) ... -419.9 meV per atom

Entry 6:
Crystalline NaAg2SnPt at its relaxed geometry, computed with PBE-GGA.

The structure in POSCAR format:
```
NaAg2SnPt
1.0
4.711 0.000 0.000
0.000 5.270 0.000
0.000 0.000 4.711
Ag Sn Pt Na
2 1 1 1
direct
0.000 0.000 0.500
0.500 0.000 0.000
0.000 0.500 0.000
0.500 0.500 0.500
0.000 0.000 0.000
```

Results
Space group ... No. 123
ΔH_f (0 K) ... 997.4 meV per atom

Entry 7:
Crystalline NaSrAgPt at its relaxed geometry, computed with PBE-GGA.

The structure in POSCAR format:
```
NaSrAgPt
1.0
-1.889 -0.549 -4.757
-4.954 -1.224 -0.677
-3.279 3.491 -1.886
Sr Ag Pt Na
1 1 1 1
direct
0.000 0.000 0.000
0.250 0.250 0.250
0.750 0.750 0.750
0.500 0.500 0.500
```

Results
Space group ... No. 216
ΔH_f (0 K) ... -280.2 meV per atom

Entry 8:
Crystalline Na2TcAgPt at its relaxed geometry, computed with PBE-GGA.

The structure in POSCAR format:
```
Na2TcAgPt
1.0
-1.327 -3.840 -3.754
3.545 -3.531 2.360
-3.445 -1.571 2.824
Na Ag Pt Tc
2 1 1 1
direct
0.000 0.500 0.000
0.500 0.000 0.000
0.500 0.500 0.500
0.000 0.000 0.500
0.000 0.000 0.000
```

Results
Space group ... No. 123
ΔH_f (0 K) ... 1088.9 meV per atom

Entry 9:
Crystalline NaTl2AgPt at its relaxed geometry, computed with PBE-GGA.

The structure in POSCAR format:
```
NaTl2AgPt
1.0
5.256 0.000 0.000
0.000 5.256 0.000
0.000 0.000 5.398
Na Tl Ag Pt
1 2 1 1
direct
0.500 0.500 0.500
0.000 0.500 0.000
0.500 0.000 0.000
0.000 0.000 0.500
0.000 0.000 0.000
```

Results
Space group ... No. 123
ΔH_f (0 K) ... 31.0 meV per atom

Entry 10:
Crystalline Na2Zn5AgPt2 at its relaxed geometry, computed with PBE-GGA.

The structure in POSCAR format:
```
Na2Zn5AgPt2
1.0
3.706 0.000 0.000
0.000 9.879 0.000
0.000 0.000 9.879
Na Zn Ag Pt
4 10 2 4
direct
0.000 0.672 0.172
0.000 0.328 0.828
0.000 0.172 0.328
0.000 0.828 0.672
0.500 0.200 0.066
0.500 0.800 0.934
0.500 0.066 0.800
0.500 0.700 0.434
0.500 0.934 0.200
0.500 0.300 0.566
0.500 0.566 0.700
0.500 0.434 0.300
0.500 0.500 0.000
0.500 0.000 0.500
0.000 0.000 0.000
0.000 0.500 0.500
0.000 0.126 0.626
0.000 0.874 0.374
0.000 0.626 0.874
0.000 0.374 0.126
```

Results
Space group ... No. 127
ΔH_f (0 K) ... -230.4 meV per atom

Entry 11:
Crystalline NaPuAg at its relaxed geometry, computed with PBE-GGA.

The structure in POSCAR format:
```
NaPuAg
1.0
2.827 0.003 -0.967
0.086 3.525 0.261
-3.728 -1.007 14.833
Pu Ag Na
2 2 2
direct
0.481 0.250 0.449
0.519 0.750 0.551
0.528 0.750 0.279
0.472 0.250 0.721
0.423 0.750 0.883
0.577 0.250 0.117
```

Results
Space group ... No. 11
ΔH_f (0 K) ... 140.2 meV per atom

Entry 12:
Crystalline NaPuAg2 at its relaxed geometry, computed with PBE-GGA.

The structure in POSCAR format:
```
NaPuAg2
1.0
-2.868 2.311 3.627
0.910 -0.939 5.002
2.077 3.676 2.984
Na Ag Pu
1 2 1
direct
0.500 0.500 0.500
0.250 0.250 0.250
0.750 0.750 0.750
0.000 0.000 0.000
```

Results
Space group ... No. 225
ΔH_f (0 K) ... 177.3 meV per atom